SrAc2Pd9 | GGA-PBE | optimized geometry

The crystal system is trigonal. Its total DFT energy (no corrections) is -5.361 eV/atom. The calculation puts the formation energy at -7.7 eV per formula unit.

The structure belongs to space group R-3m (No. 166, hexagonal axes); the cell edges are 5.5463, 5.5463 and 27.5523 Å and the angles 90.00°, 90.00° and 120.00°. The distinct sites, in fractional coordinates, are Sr at (0.0000, 0.0000, 0.0000), Ac at (0.0000, 0.0000, 0.1365), Pd at (0.0000, 0.0000, 0.3329), Pd at (0.0000, 0.0000, 0.5000) and Pd at (0.0021, 0.5011, 0.9164).

***

SrAcTlPd | GGA-PBE | optimized geometry

The crystal system is cubic. Its total DFT energy (no corrections) is -3.768 eV/atom. The excess energy over the best structure of this formula in the dataset comes out at 73.9 meV per atom. The calculation puts the formation energy at -1.7 eV per formula unit.

The structure belongs to space group F-43m (No. 216); the cell edges are 7.8925, 7.8925 and 7.8925 Å and the angles 90.00°, 90.00° and 90.00°. The distinct sites, in fractional coordinates, are Sr at (0.0000, 0.0000, 0.0000), Ac at (0.0000, 0.0000, 0.5000), Tl at (0.2500, 0.2500, 0.7500) and Pd at (0.2500, 0.2500, 0.2500).

***

SrAcTlPd | GGA-PBE | optimized geometry

The crystal system is orthorhombic. Its total DFT energy (no corrections) is -3.842 eV/atom. The excess energy over the best structure of this formula in the dataset comes out at 0.0 meV per atom. The calculation puts the formation energy at -2.0 eV per formula unit.

The structure belongs to space group Amm2 (No. 38); the cell edges are 4.4100, 4.3956 and 13.4302 Å and the angles 90.00°, 90.00° and 90.00°. The distinct sites, in fractional coordinates, are Sr at (0.0000, 0.0000, 0.0000), Ac at (0.5000, 0.0000, 0.7069), Tl at (0.5000, 0.0000, 0.4074) and Pd at (0.0000, 0.0000, 0.2503).

***

SrAc2Tl2Pd7 | GGA-PBE | optimized geometry

The crystal system is monoclinic. Its total DFT energy (no corrections) is -4.696 eV/atom. The calculation puts the formation energy at -5.4 eV per formula unit.

The structure belongs to space group C2/m (No. 12); the cell edges are 6.1497, 6.0591 and 15.1907 Å and the angles 90.00°, 97.75° and 90.00°. The distinct sites, in fractional coordinates, are Sr at (0.0000, 0.0000, 0.0000), Ac at (0.1116, 0.0000, 0.3683), Tl at (0.0777, 0.5000, 0.2505), Pd at (0.0000, 0.5000, 0.0000), Pd at (0.1292, 0.5000, 0.4341) and Pd at (0.2055, 0.2482, 0.8588).

***

AcTaPd | GGA-PBE | optimized geometry

The crystal system is tetragonal. Its total DFT energy (no corrections) is -6.960 eV/atom. The calculation puts the formation energy at 0.3 eV per formula unit.

The structure belongs to space group P4/mmm (No. 123); the cell edges are 3.6047, 3.6047 and 11.2491 Å and the angles 90.00°, 90.00° and 90.00°. The distinct sites, in fractional coordinates, are Ac at (0.0000, 0.0000, 0.1766), Ta at (0.5000, 0.5000, 0.3890), Pd at (0.0000, 0.0000, 0.5000) and Pd at (0.5000, 0.5000, 0.0000).

***

AcTbPd2 | GGA-PBE | optimized geometry

The crystal system is orthorhombic. Its total DFT energy (no corrections) is -5.605 eV/atom. The excess energy over the best structure of this formula in the dataset comes out at 0.0 meV per atom. The calculation puts the formation energy at -3.3 eV per formula unit.

The structure belongs to space group Amm2 (No. 38); the cell edges are 4.6626, 3.9608 and 11.0785 Å and the angles 90.00°, 90.00° and 90.00°. The distinct sites, in fractional coordinates, are Ac at (0.0000, 0.0000, 0.0000), Tb at (0.5000, 0.0000, 0.2715), Pd at (0.0000, 0.0000, 0.7273) and Pd at (0.5000, 0.0000, 0.5572).

***

Ac2TbPd | GGA-PBE | optimized geometry

The crystal system is trigonal. Its total DFT energy (no corrections) is -4.344 eV/atom. The excess energy over the best structure of this formula in the dataset comes out at 457.1 meV per atom. The calculation puts the formation energy at 0.7 eV per formula unit.

The structure belongs to space group R-3m (No. 166, hexagonal axes); the cell edges are 3.7598, 3.7598 and 34.9808 Å and the angles 90.00°, 90.00° and 120.00°. The distinct sites, in fractional coordinates, are Ac at (0.0000, 0.0000, 0.0792), Tb at (0.0000, 0.0000, 0.5000) and Pd at (0.0000, 0.0000, 0.0000).

***

AcTb2Pd9 | GGA-PBE | optimized geometry

The crystal system is tetragonal. Its total DFT energy (no corrections) is -5.819 eV/atom. The calculation puts the formation energy at -9.7 eV per formula unit.

The structure belongs to space group P4/mmm (No. 123); the cell edges are 4.2121, 4.2121 and 12.4907 Å and the angles 90.00°, 90.00° and 90.00°. The distinct sites, in fractional coordinates, are Ac at (0.0000, 0.0000, 0.0000), Tb at (0.0000, 0.0000, 0.3390), Pd at (0.0000, 0.5000, 0.1767), Pd at (0.0000, 0.5000, 0.5000), Pd at (0.5000, 0.5000, 0.0000) and Pd at (0.5000, 0.5000, 0.3381).

***

AcTb3Pd | GGA-PBE | optimized geometry

The crystal system is cubic. Its total DFT energy (no corrections) is -4.846 eV/atom. The calculation puts the formation energy at -1.0 eV per formula unit.

The structure belongs to space group Pm-3m (No. 221); the cell edges are 5.5626, 5.5626 and 5.5626 Å and the angles 90.00°, 90.00° and 90.00°. The distinct sites, in fractional coordinates, are Ac at (0.0000, 0.0000, 0.0000), Tb at (0.0000, 0.5000, 0.5000) and Pd at (0.5000, 0.5000, 0.5000).

***

AcTbPd2 | GGA-PBE | optimized geometry

The crystal system is trigonal. Its total DFT energy (no corrections) is -5.454 eV/atom. The excess energy over the best structure of this formula in the dataset comes out at 150.8 meV per atom. The calculation puts the formation energy at -2.7 eV per formula unit.

The structure belongs to space group R3m (No. 160, hexagonal axes); the cell edges are 4.1900, 4.1900 and 21.7426 Å and the angles 90.00°, 90.00° and 120.00°. The distinct sites, in fractional coordinates, are Ac at (0.0000, 0.0000, 0.0000), Tb at (0.0000, 0.0000, 0.8267), Pd at (0.0000, 0.0000, 0.2393) and Pd at (0.0000, 0.0000, 0.4207).

***

Which value of total DFT energy (no corrections) does entry 5 give?
-6.960 eV/atom

***

Which formula does entry 6 have?
AcTbPd2